(A)
Below is a relaxed structure of SrMgTcRh2, with properties calculated at the PBE-GGA level.

As for the crystal system: tetragonal. As for the magnetic moment: 0.82 μB per atom.

```
SrMgTcRh2
1.0
4.757 0.000 0.000
0.000 4.757 0.000
0.000 0.000 4.829
Sr Mg Tc Rh
1 1 1 2
Cartesian
0.000 0.000 0.000
2.378 2.378 2.415
2.378 2.378 0.000
0.000 2.378 2.415
2.378 0.000 2.415
```

=====

(B)
Below is a relaxed structure of SrMgTcRh2, with properties calculated at the PBE-GGA level.

As for the crystal system: tetragonal. As for the magnetic moment: 0.62 μB per atom.

```
SrMgTcRh2
1.0
4.958 0.000 0.000
0.000 4.958 0.000
0.000 0.000 5.009
Sr Mg Tc Rh
1 1 1 2
Cartesian
0.000 0.000 0.000
2.479 2.479 2.505
0.000 0.000 2.505
0.000 2.479 0.000
2.479 0.000 0.000
```

=====

Referenced to the most stable arrangement, the calculated values in meV per atom are (A) 0; (B) 982.